No. 1
Rb3Ga2Sn5: optimized geometry, GGA-PBE.

Unit cell a=10.5156 b=10.5156 c=10.5156 alpha=117.48 beta=79.18 gamma=136.57
Fractional coordinates of all 20 atoms:
1 Rb 0.1330 0.7418 0.8748
2 Rb 0.2500 0.2500 0.0000
3 Rb 0.3670 0.2418 0.6088
4 Rb 0.6330 0.7582 0.3912
5 Rb 0.7500 0.7500 0.0000
6 Rb 0.8670 0.2582 0.1252
7 Ga 0.1580 0.1186 0.2766
8 Ga 0.3420 0.6186 0.9606
9 Ga 0.6580 0.3814 0.0394
10 Ga 0.8420 0.8814 0.7234
11 Sn 0.0018 0.7500 0.2518
12 Sn 0.1270 0.3716 0.4986
13 Sn 0.2500 0.7500 0.5000
14 Sn 0.3730 0.8716 0.2446
15 Sn 0.4982 0.7500 0.7482
16 Sn 0.5018 0.2500 0.2518
17 Sn 0.6270 0.1284 0.7554
18 Sn 0.7500 0.2500 0.5000
19 Sn 0.8730 0.6284 0.5014
20 Sn 0.9982 0.2500 0.7482

Values from the calculation:
ΔH_f (0 K): -0.083 eV/atom
SG: Ibam (72)

No. 2
RbGa4Sn12: optimized geometry, GGA-PBE.

Unit cell a=8.5742 b=8.5742 c=8.5742 alpha=109.47 beta=109.47 gamma=109.47
Fractional coordinates of all 17 atoms:
1 Rb 0.0000 0.0000 0.0000
2 Ga 0.0000 0.0000 0.5000
3 Ga 0.0000 0.5000 0.0000
4 Ga 0.5000 0.0000 0.0000
5 Ga 0.5000 0.5000 0.5000
6 Sn 0.1536 0.5062 0.3526
7 Sn 0.1536 0.8010 0.6474
8 Sn 0.1990 0.3526 0.8464
9 Sn 0.3526 0.1536 0.5062
10 Sn 0.3526 0.8464 0.1990
11 Sn 0.4938 0.6474 0.8464
12 Sn 0.5062 0.3526 0.1536
13 Sn 0.6474 0.1536 0.8010
14 Sn 0.6474 0.8464 0.4938
15 Sn 0.8010 0.6474 0.1536
16 Sn 0.8464 0.1990 0.3526
17 Sn 0.8464 0.4938 0.6474

Values from the calculation:
ΔH_f (0 K): 0.013 eV/atom
SG: Im-3 (204)

No. 3
RbGa2Sn3: optimized geometry, GGA-PBE.

Unit cell a=8.3076 b=8.3076 c=5.5807 alpha=90.00 beta=90.00 gamma=77.57
Fractional coordinates of all 12 atoms:
1 Rb 0.1612 0.8388 0.7500
2 Rb 0.8388 0.1612 0.2500
3 Ga 0.2846 0.2846 0.0000
4 Ga 0.2846 0.2846 0.5000
5 Ga 0.7154 0.7154 0.0000
6 Ga 0.7154 0.7154 0.5000
7 Sn 0.0357 0.5787 0.2500
8 Sn 0.4213 0.9643 0.2500
9 Sn 0.4290 0.5710 0.2500
10 Sn 0.5710 0.4290 0.7500
11 Sn 0.5787 0.0357 0.7500
12 Sn 0.9643 0.4213 0.7500

Values from the calculation:
ΔH_f (0 K): -0.033 eV/atom
SG: Cmcm (63)

No. 4
RbGa4Sn: optimized geometry, GGA-PBE.

Unit cell a=5.9409 b=5.9409 c=5.9409 alpha=60.00 beta=60.00 gamma=60.00
Fractional coordinates of all 6 atoms:
1 Rb 0.0000 0.0000 0.0000
2 Ga 0.3754 0.3754 0.3754
3 Ga 0.3754 0.3754 0.8738
4 Ga 0.3754 0.8738 0.3754
5 Ga 0.8738 0.3754 0.3754
6 Sn 0.7500 0.7500 0.7500

Values from the calculation:
ΔH_f (0 K): 0.081 eV/atom
SG: F-43m (216)
Polymorph energy (0 for the lowest one): 152.0 meV/atom

No. 5
Rb2Ga7Sn: optimized geometry, GGA-PBE.

Unit cell a=4.6516 b=4.6516 c=11.4697 alpha=90.00 beta=90.00 gamma=90.00
Fractional coordinates of all 10 atoms:
1 Rb 0.0000 0.5000 0.2437
2 Rb 0.5000 0.0000 0.7563
3 Ga 0.0000 0.0000 0.0000
4 Ga 0.0000 0.5000 0.6423
5 Ga 0.0000 0.5000 0.8755
6 Ga 0.5000 0.0000 0.1245
7 Ga 0.5000 0.0000 0.3577
8 Ga 0.5000 0.5000 0.0000
9 Ga 0.5000 0.5000 0.5000
10 Sn 0.0000 0.0000 0.5000

Values from the calculation:
ΔH_f (0 K): -0.121 eV/atom
SG: P-4m2 (115)

No. 6
Rb2GaSn2: optimized geometry, GGA-PBE.

Unit cell a=7.2550 b=7.2550 c=13.6718 alpha=90.00 beta=90.00 gamma=145.09
Fractional coordinates of all 10 atoms:
1 Rb 0.1022 0.8978 0.5000
2 Rb 0.3491 0.6509 0.6885
3 Rb 0.6509 0.3491 0.1885
4 Rb 0.8978 0.1022 0.0000
5 Ga 0.3182 0.6818 0.3215
6 Ga 0.6818 0.3182 0.8215
7 Sn 0.0582 0.9418 0.7734
8 Sn 0.1710 0.8290 0.9548
9 Sn 0.8290 0.1710 0.4548
10 Sn 0.9418 0.0582 0.2734

Values from the calculation:
ΔH_f (0 K): -0.092 eV/atom
SG: Cmc2_1 (36)
Polymorph energy (0 for the lowest one): 0.0 meV/atom

No. 7
RbGa6Sn2: optimized geometry, GGA-PBE.

Unit cell a=4.9619 b=4.9619 c=9.2101 alpha=90.00 beta=90.00 gamma=90.00
Fractional coordinates of all 9 atoms:
1 Rb 0.0000 0.0000 0.0000
2 Ga 0.0000 0.0000 0.5000
3 Ga 0.0000 0.5000 0.3383
4 Ga 0.0000 0.5000 0.6617
5 Ga 0.5000 0.0000 0.3383
6 Ga 0.5000 0.0000 0.6617
7 Ga 0.5000 0.5000 0.5000
8 Sn 0.5000 0.5000 0.1695
9 Sn 0.5000 0.5000 0.8305

Values from the calculation:
ΔH_f (0 K): -0.034 eV/atom
SG: P4/mmm (123)

No. 8
RbGaSn4: optimized geometry, GGA-PBE.

Unit cell a=8.5662 b=8.5662 c=8.1876 alpha=90.00 beta=90.00 gamma=141.01
Fractional coordinates of all 12 atoms:
1 Rb 0.1039 0.8961 0.7500
2 Rb 0.8961 0.1039 0.2500
3 Ga 0.3742 0.6258 0.7500
4 Ga 0.6258 0.3742 0.2500
5 Sn 0.1139 0.8861 0.2500
6 Sn 0.2815 0.7185 0.0577
7 Sn 0.2815 0.7185 0.4423
8 Sn 0.5000 0.5000 0.0000
9 Sn 0.5000 0.5000 0.5000
10 Sn 0.7185 0.2815 0.5577
11 Sn 0.7185 0.2815 0.9423
12 Sn 0.8861 0.1139 0.7500

Values from the calculation:
ΔH_f (0 K): 0.062 eV/atom
SG: Cmcm (63)
Polymorph energy (0 for the lowest one): 103.4 meV/atom

no.,total moment (Bohr magnetons per cell)
1,0.0
2,0.0
3,0.0
4,0.0
5,0.0
6,0.0
7,0.0
8,0.0